Here is an optimized crystal structure of Cr2AgSb from the Alexandria database. Energies are from PBE.

## Properties
raw formation energy: 0.38 eV per atom

Cell lengths 6.585, 6.585, 6.585 Å; angles 90.00, 90.00, 90.00 degrees
Space group F-43m (No. 216)
Symmetry-distinct sites (fractional):
Cr 0.000 0.000 0.000
Cr 0.250 0.250 0.250
Ag 0.250 0.250 0.750
Sb 0.000 0.000 0.500

***

Here is an optimized crystal structure of Nb3AgS from the Alexandria database. Energies are from PBE.

## Properties
raw formation energy: 0.25 eV per atom
energy above the lowest structure with this stoichiometry: 0 meV per atom

Cell lengths 4.593, 4.593, 4.593 Å; angles 90.00, 90.00, 90.00 degrees
Space group Pm-3m (No. 221)
Symmetry-distinct sites (fractional):
Nb 0.000 0.000 0.500
Ag 0.500 0.500 0.500
S 0.000 0.000 0.000

***

Here is an optimized crystal structure of NdSm6Cd2 from the Alexandria database. Energies are from PBE.

## Properties
energy above the lowest structure with this stoichiometry: 68 meV per atom
energy of formation: -0.062 eV/atom

Cell lengths 15.716, 11.600, 6.185 Å; angles 90.00, 96.08, 90.00 degrees
Space group C2/c (No. 15)
Symmetry-distinct sites (fractional):
Nd 0.000 0.105 0.250
Sm 0.057 0.378 0.509
Sm 0.119 0.150 0.810
Sm 0.227 0.126 0.336
Cd 0.164 0.374 0.094

***

Here is an optimized crystal structure of InSbAs2Os from the Alexandria database. Energies are from PBE.

## Properties
raw formation energy: 1.61 eV per atom

Cell lengths 5.125, 5.125, 5.040 Å; angles 90.00, 90.00, 90.00 degrees
Space group P4/mmm (No. 123)
Symmetry-distinct sites (fractional):
In 0.000 0.000 0.000
Sb 0.500 0.500 0.500
As 0.000 0.500 0.000
Os 0.000 0.000 0.500

***

Here is an optimized crystal structure of Pu2CuGe6Ir from the Alexandria database. Energies are from PBE.

## Properties
energy of formation: -0.155 eV/atom

Cell lengths 6.1074, 6.1074, 38.1624 Å; angles 90.00, 90.00, 120.00 degrees
Space group R-3m (No. 166, hexagonal axes)
Symmetry-distinct sites (fractional):
Pu 0.0000 0.0000 0.1282
Pu 0.0000 0.0000 0.2784
Cu 0.0000 0.0000 0.0000
Cu 0.0000 0.0000 0.5000
Ge 0.0440 0.5220 0.7189
Ge 0.0574 0.5287 0.8703
Ir 0.0000 0.0000 0.4266

***

Here is an optimized crystal structure of CrAs2Cl from the Alexandria database. Energies are from PBE.

## Properties
raw formation energy: -0.06 eV per atom
energy above the lowest structure with this stoichiometry: 175 meV per atom

Cell lengths 7.375, 3.197, 7.747 Å; angles 90.00, 109.49, 90.00 degrees
Space group C2/m (No. 12)
Symmetry-distinct sites (fractional):
Cr 0.000 0.000 0.000
As 0.143 0.500 0.837
Cl 0.000 0.500 0.500

***

Here is an optimized crystal structure of La2TbSe3 from the Alexandria database. Energies are from PBE.

## Properties
raw formation energy: -1.93 eV per atom
energy above the lowest structure with this stoichiometry: 0 meV per atom

Cell lengths 8.550, 11.997, 25.222 Å; angles 90.00, 90.00, 90.00 degrees
Space group Fddd (No. 70, origin choice 2)
Symmetry-distinct sites (fractional):
La 0.125 0.125 0.044
La 0.125 0.125 0.374
Tb 0.125 0.125 0.542
Se 0.111 0.375 0.875
Se 0.118 0.369 0.711

***

Here is an optimized crystal structure of SrCd2Ga from the Alexandria database. Energies are from PBE.

## Properties
energy of formation: 0.227 eV/atom

Cell lengths 3.9004, 3.9004, 30.7607 Å; angles 90.00, 90.00, 120.00 degrees
Space group R-3m (No. 166, hexagonal axes)
Symmetry-distinct sites (fractional):
Sr 0.0000 0.0000 0.0000
Cd 0.0000 0.0000 0.1088
Ga 0.0000 0.0000 0.5000

***

Here is an optimized crystal structure of MgB2H2 from the Alexandria database. Energies are from PBE.

## Properties
energy above the lowest structure with this stoichiometry: 0 meV per atom

Cell lengths 3.009, 3.009, 8.148 Å; angles 90.00, 90.00, 90.00 degrees
Space group I4/mmm (No. 139)
Symmetry-distinct sites (fractional):
Mg 0.000 0.000 0.000
B 0.000 0.500 0.250
H 0.000 0.000 0.326

***

Here is an optimized crystal structure of Y2PaGa3Pt4 from the Alexandria database. Energies are from PBE.

## Properties
energy of formation: -0.875 eV/atom

Cell lengths 4.317, 4.317, 11.061 Å; angles 90.00, 90.00, 90.00 degrees
Space group P-4m2 (No. 115)
Symmetry-distinct sites (fractional):
Y 0.000 0.500 0.218
Pa 0.000 0.000 0.500
Ga 0.000 0.500 0.877
Ga 0.500 0.500 0.500
Pt 0.000 0.000 0.000
Pt 0.000 0.500 0.654
Pt 0.500 0.500 0.000

***

Here is an optimized crystal structure of Ac4MgPb3 from the Alexandria database. Energies are from PBE.

## Properties
energy above the lowest structure with this stoichiometry: 0 meV per atom
energy of formation: -0.416 eV/atom

Cell lengths 4.762, 4.954, 12.690 Å; angles 90.00, 90.00, 90.00 degrees
Space group Pmm2 (No. 25)
Symmetry-distinct sites (fractional):
Ac 0.000 0.000 0.000
Ac 0.000 0.500 0.497
Ac 0.500 0.000 0.276
Ac 0.500 0.500 0.775
Mg 0.500 0.000 0.567
Pb 0.000 0.000 0.718
Pb 0.000 0.500 0.223
Pb 0.500 0.500 0.047

***

Here is an optimized crystal structure of BaGd2Zr from the Alexandria database. Energies are from PBE.

## Properties
energy of formation: 0.403 eV/atom

Cell lengths 8.108, 8.108, 8.108 Å; angles 90.00, 90.00, 90.00 degrees
Space group Fm-3m (No. 225)
Symmetry-distinct sites (fractional):
Ba 0.000 0.000 0.000
Gd 0.250 0.250 0.250
Zr 0.000 0.000 0.500